## MgV2TeO8 (PBE with a Hubbard U)

Data for a geometry-optimized MgV2TeO8 structure.

a b c (Å): 5.8207 5.8207 5.8207
angles (deg): 107.05 107.05 114.42
Closest atoms and distances in Å follow each position.
Fractional positions:
Mg: 0.0000 0.0000 0.0000  4 O 2.17
V: 0.7500 0.2500 0.5000  4 O 1.75
V: 0.5000 0.5000 0.0000  4 O 1.73
Te: 0.2500 0.7500 0.5000  8 O 2.17-2.42
O: 0.3770 0.0696 0.3075  1 V 1.75
O: 0.3263 0.5205 0.1942  1 V 1.73
O: 0.3263 0.1320 0.8058  1 V 1.73
O: 0.7621 0.0696 0.6925  1 V 1.75
O: 0.8680 0.6737 0.1942  1 V 1.73
O: 0.9304 0.2379 0.3075  1 V 1.75
O: 0.9304 0.6230 0.6925  1 V 1.75
O: 0.4795 0.6737 0.8058  1 V 1.73

Total moment = 0.00 μB per atom
N(E_F) = 0.00 states/eV/f.u.
Final energy = -6.6571 eV/atom